(1)
11
Lattice="4.365 -6.868 0.000 4.365 6.868 0.000 -1.666 0.000 5.685" Properties=species:S:1:pos:R:3 comment="Pr8AgIr2 (PBE, optimized geometry)" sg="C2/m, No. 12" density_g_cm3=7.9 formation_enthalpy_0k_mev_per_atom=-234 magnetic_moment_mub_per_atom=0.000 energy_ev_per_atom=-5.580 pbc="T T T"
Pr 0.879 1.725 3.254
Pr 4.365 3.591 0.000
Pr 0.879 -1.725 3.254
Pr 3.062 0.000 1.075
Pr 4.002 0.000 4.610
Pr 6.185 1.725 2.431
Pr 4.365 -3.591 0.000
Pr 6.185 -1.725 2.431
Ag 0.000 0.000 0.000
Ir 3.532 2.834 2.843
Ir 3.532 -2.834 2.843

***

(2)
4
Lattice="2.146 1.239 6.900 -2.146 1.239 6.900 0.000 -2.478 6.900" Properties=species:S:1:pos:R:3 comment="Ho2BiPt (PBE, optimized geometry)" sg="R-3m, No. 166" e_above_lowest_polymorph_ev_per_atom=0.000 density_g_cm3=11.1 formation_enthalpy_0k_mev_per_atom=-899 magnetic_moment_mub_per_atom=0.000 energy_ev_per_atom=-5.668 pbc="T T T"
Ho 0.000 0.000 4.926
Ho 0.000 0.000 15.774
Bi 0.000 0.000 0.000
Pt 0.000 0.000 10.350

***

(3)
4
Lattice="2.758 0.000 0.000 0.000 4.285 0.000 -0.016 0.000 7.308" Properties=species:S:1:pos:R:3 comment="KAg2Ir (PBE, optimized geometry)" sg="P2/m, No. 10" e_above_lowest_polymorph_ev_per_atom=0.000 density_g_cm3=8.6 formation_enthalpy_0k_mev_per_atom=473 magnetic_moment_mub_per_atom=0.000 energy_ev_per_atom=-3.443 pbc="T T T"
K 0.000 0.000 0.000
Ag 1.372 2.143 2.294
Ag 1.370 2.143 5.015
Ir -0.008 0.000 3.654

***

(4)
12
Lattice="9.280 -2.118 0.000 9.280 2.118 0.000 -1.820 0.000 8.459" Properties=species:S:1:pos:R:3 comment="Pm6Si2Se3I (PBE, optimized geometry)" sg="C2/m, No. 12" formation_energy_uncorrected_ev_per_atom=-1.36 density_g_cm3=6.4 magnetic_moment_mub_per_atom=0.000 energy_ev_per_atom=-5.639 pbc="T T T"
Pm -0.328 0.000 2.398
Pm 4.346 0.000 7.529
Pm 5.363 0.000 3.569
Pm 11.377 0.000 4.890
Pm 12.393 0.000 0.931
Pm 17.067 0.000 6.062
Si 2.508 0.000 2.840
Si 14.231 0.000 5.619
Se 1.433 0.000 7.093
Se 8.370 0.000 4.230
Se 15.306 0.000 1.367
I 9.280 0.000 0.000